Entry 1:
Here is an optimized crystal structure of Y2NiB2IrN2 from OQMD via LeMat-Bulk. Energies are from PBE.

Cell and atoms, written as POSCAR:
```
Y2NiB2IrN2
1.0
3.587 0.000 0.000
0.000 3.587 0.000
0.000 0.000 7.570
Y Ni B Ir N
2 1 2 1 2
Direct
0.000 0.500 0.162 Y
0.500 0.000 0.838 Y
0.000 0.000 0.500 Ni
0.000 0.500 0.659 B
0.500 0.000 0.341 B
0.500 0.500 0.500 Ir
0.000 0.500 0.855 N
0.500 0.000 0.145 N
```

Mass density in Mg/m³: 8.15
Total magnetization in Bohr magnetons per cell: 0.003
Volume in Å³/cell: 97.42
Final energy in eV/cell: -66.62
SG: P-4m2 (115)



Entry 2:
Here is an optimized crystal structure of CsB2OsO6 from OQMD via LeMat-Bulk. Energies are from PBE.

Cell and atoms, written as POSCAR:
```
CsB2OsO6
1.0
7.537 0.000 0.000
0.000 3.729 0.000
0.000 0.000 9.646
Cs B Os O
2 4 2 12
Direct
0.000 0.035 0.000 Cs
0.500 0.965 0.500 Cs
0.166 0.511 0.679 B
0.334 0.489 0.179 B
0.666 0.489 0.179 B
0.834 0.511 0.679 B
0.000 0.423 0.395 Os
0.500 0.577 0.895 Os
0.000 0.533 0.744 O
0.000 0.922 0.394 O
0.183 0.425 0.542 O
0.186 0.412 0.251 O
0.314 0.588 0.751 O
0.317 0.575 0.042 O
0.500 0.078 0.894 O
0.500 0.467 0.244 O
0.683 0.575 0.042 O
0.686 0.588 0.751 O
0.814 0.412 0.251 O
0.817 0.425 0.542 O
```

Mass density in Mg/m³: 5.40
Total magnetization in Bohr magnetons per cell: 2.258
Volume in Å³/cell: 271.07
Final energy in eV/cell: -147.14
SG: Pmn2_1 (31)



Entry 3:
Here is an optimized crystal structure of Pt2SeS3 from OQMD via LeMat-Bulk. Energies are from PBE.

Cell and atoms, written as POSCAR:
```
Pt2SeS3
1.0
6.066 0.000 0.000
0.000 3.502 0.000
-3.023 0.000 10.186
Pt Se S
2 1 3
Direct
0.000 0.000 0.000 Pt
0.478 0.500 0.001 Pt
0.742 0.500 0.845 Se
0.255 0.000 0.859 S
0.394 0.000 0.137 S
0.880 0.500 0.122 S
```

Mass density in Mg/m³: 4.34
Total magnetization in Bohr magnetons per cell: 0.000
Volume in Å³/cell: 216.39
Final energy in eV/cell: -26.84
SG: Pm (6)



Entry 4:
Here is an optimized crystal structure of BaNaCoMo from OQMD via LeMat-Bulk. Energies are from PBE.

Cell and atoms, written as POSCAR:
```
BaNaCoMo
1.0
0.000 3.714 3.714
3.714 0.000 3.714
3.714 3.714 0.000
Ba Na Co Mo
1 1 1 1
Direct
0.000 0.000 0.000 Ba
0.500 0.500 0.500 Na
0.750 0.750 0.750 Co
0.250 0.250 0.250 Mo
```

Mass density in Mg/m³: 5.11
Energy above the most stable polymorph in this dataset in kJ/mol of formula units: 91
Total magnetization in Bohr magnetons per cell: 5.045
Volume in Å³/cell: 102.50
Final energy in eV/cell: -15.44
SG: F-43m (216)